Run one
TmGaAg2 GGA-PBE optimized geometry; mass density = 9.3 g/cm³; space group = P4/mmm (123); volume = 81.0 Å³/cell
1.0
-3.722 -2.205 -0.002
2.052 -3.465 1.581
-0.807 1.359 4.027
Tm Ag Ga
1 2 1
Cartesian
-1.239 -2.155 2.803 Tm
1.026 -1.732 0.790 Ag
-0.404 0.680 2.013 Ag
-1.861 -1.103 -0.001 Ga



Run two
TmGaAg2 GGA-PBE optimized geometry; mass density = 9.2 g/cm³; space group = P4/mmm (123); volume = 82.3 Å³/cell
1.0
-1.664 -2.025 2.535
0.444 -2.964 -2.077
5.453 -1.083 2.713
Ag Ga Tm
2 1 1
Cartesian
1.322 -0.263 0.658 Ag
4.131 -0.821 2.055 Ag
-0.610 -2.495 0.229 Ga
2.117 -3.037 1.586 Tm



Run three
TmGaAg2 GGA-PBE optimized geometry; mass density = 9.6 g/cm³; space group = P2_1/m (11); volume = 157.9 Å³/cell
1.0
-0.604 -4.618 1.246
5.256 -0.577 0.411
-0.294 1.642 5.945
Ag Tm Ga
4 2 2
Cartesian
3.820 -3.123 4.269 Ag
0.539 -0.430 3.332 Ag
3.677 -2.312 7.206 Ag
0.681 -1.241 0.395 Ag
1.166 -2.433 5.539 Tm
3.193 -1.120 2.062 Tm
1.000 -3.220 2.542 Ga
3.359 -0.333 5.058 Ga



Run four
TmGaAg2 GGA-PBE optimized geometry; mass density = 9.7 g/cm³; space group = Fm-3m (225); volume = 77.9 Å³/cell
1.0
4.795 0.000 0.000
2.397 4.152 0.000
2.397 1.384 3.915
Ga Ag Tm
1 2 1
Cartesian
4.795 2.768 1.957 Ga
2.397 1.384 0.979 Ag
7.192 4.152 2.936 Ag
0.000 0.000 0.000 Tm



run three is the most stable structure; the next one sits 0.020 eV/atom above it.



Run one
V3GaAg GGA-PBE optimized geometry; mass density = 5.2 g/cm³; space group = Pm-3m (221); volume = 106.1 Å³/cell
1.0
4.735 0.000 0.000
0.000 4.735 0.000
0.000 0.000 4.735
V Ga Ag
3 1 1
Cartesian
0.000 2.367 0.000 V
2.367 0.000 0.000 V
0.000 0.000 2.367 V
2.367 2.367 2.367 Ga
0.000 0.000 0.000 Ag



Run two
V3GaAg GGA-PBE optimized geometry; mass density = 5.9 g/cm³; space group = Pm-3m (221); volume = 92.4 Å³/cell
1.0
4.520 0.000 0.000
0.000 4.520 0.000
0.000 0.000 4.520
Ag V Ga
1 3 1
Cartesian
2.260 2.260 2.260 Ag
0.000 0.000 2.260 V
2.260 0.000 0.000 V
0.000 2.260 0.000 V
0.000 0.000 0.000 Ga



run two is the most stable structure; the next one sits 0.484 eV/atom above it.



Run one
VGa2Ag GGA-PBE optimized geometry; mass density = 7.0 g/cm³; space group = I-42d (122); volume = 140.5 Å³/cell
1.0
-4.340 5.472 0.781
-3.288 -1.757 -5.957
-5.613 0.219 -1.111
V Ga Ag
2 4 2
Cartesian
-3.814 1.857 -2.588 V
-6.358 0.159 -4.828 V
-7.069 1.558 -2.771 Ga
-4.529 3.258 -0.534 Ga
-10.886 3.413 -5.365 Ga
-3.999 -0.362 -3.903 Ga
0.000 0.000 0.000 Ag
-6.883 3.774 -1.459 Ag



Run two
VGa2Ag GGA-PBE optimized geometry; mass density = 7.0 g/cm³; space group = R3m (160); volume = 71.2 Å³/cell
1.0
-2.304 -1.477 2.740
0.429 -3.684 1.111
2.946 -0.142 5.137
Ga Ag V
2 1 1
Cartesian
2.114 -0.510 4.240 Ga
0.221 -1.347 2.196 Ga
0.591 -2.627 4.554 Ag
1.626 -3.614 7.629 V



Run three
VGa2Ag GGA-PBE optimized geometry; mass density = 8.0 g/cm³; space group = P4/mmm (123); volume = 62.1 Å³/cell
1.0
2.761 0.000 0.000
0.000 2.761 0.000
0.000 0.000 8.144
Ag Ga V
1 2 1
Cartesian
1.381 1.381 4.072 Ag
0.000 0.000 6.274 Ga
0.000 0.000 1.870 Ga
1.381 1.381 0.000 V



run three is the most stable structure; the next one sits 0.325 eV/atom above it.